[1]
SmY3 | PBE | optimized geometry

## Properties
ρ (g/cm³): 5.2
Distance to the lowest polymorph of the same formula (meV per atom): 118
Calculated formation energy (eV/atom): 0.125
M_tot (μB per cell): 0.0
Space-group type: No. 225
Raw total energy (eV per atom): -5.9031

Cell: 5.7189 5.7189 5.7189 Å, 60.00 60.00 60.00°
Closest atoms and distances in Å follow each position.
Positions (direct):
Y 0.0000 0.0000 0.0000  8 Y 3.50
Y 0.7500 0.7500 0.7500  4 Sm 3.50, 4 Y 3.50
Y 0.2500 0.2500 0.2500  4 Sm 3.50, 4 Y 3.50
Sm 0.5000 0.5000 0.5000  8 Y 3.50

***

[2]
Sm2Y | PBE | optimized geometry

## Properties
ρ (g/cm³): 6.2
Distance to the lowest polymorph of the same formula (meV per atom): 213
Calculated formation energy (eV/atom): 0.231
M_tot (μB per cell): 0.0
Space-group type: No. 227
Raw total energy (eV per atom): -5.0695

Cell: 6.6457 6.6457 6.6457 Å, 60.00 60.00 60.00°
Closest atoms and distances in Å follow each position.
Positions (direct):
Y 0.0000 0.0000 0.0000  12 Sm 3.90, 4 Y 4.07
Y 0.2500 0.2500 0.2500  12 Sm 3.90, 4 Y 4.07
Sm 0.1250 0.6250 0.6250  6 Sm 3.32
Sm 0.6250 0.1250 0.6250  6 Sm 3.32
Sm 0.6250 0.6250 0.6250  6 Sm 3.32
Sm 0.6250 0.6250 0.1250  6 Sm 3.32